Here is a relaxed Ho12TmSc5 crystal from the Alexandria database. Energies are from PBE.

Structure (POSCAR):
```
Ho12TmSc5
1.0
-4.760 0.388 -3.647
-3.097 -4.948 -1.435
-8.347 2.253 14.412
Ho Tm Sc
12 1 5
Direct
0.780 0.000 0.338 Ho
0.220 0.000 0.662 Ho
0.609 0.000 0.834 Ho
0.391 0.000 0.166 Ho
0.280 0.665 0.834 Ho
0.056 0.665 0.166 Ho
0.944 0.335 0.834 Ho
0.720 0.335 0.166 Ho
0.553 0.333 0.662 Ho
0.887 0.667 0.662 Ho
0.113 0.333 0.338 Ho
0.447 0.667 0.338 Ho
0.000 0.000 0.000 Tm
0.500 0.000 0.500 Sc
0.167 0.667 0.500 Sc
0.833 0.333 0.500 Sc
0.667 0.667 0.000 Sc
0.333 0.333 0.000 Sc
```

Output
ΔH_f (0 K) in eV/atom: 0.03
Total magnetic moment in Bohr magnetons per cell: 0.00
Electronic total energy in Ry per atom: -0.369
ρ in g cm⁻³: 7.547


Here is a relaxed HoTm2Sc5 crystal from the Alexandria database. Energies are from PBE.

Structure (POSCAR):
```
HoTm2Sc5
1.0
-4.996 2.654 3.555
1.887 -6.300 1.179
6.243 2.168 0.979
Ho Tm Sc
1 2 5
Direct
0.000 0.778 0.778 Ho
0.500 0.278 0.778 Tm
0.500 0.778 0.278 Tm
0.500 0.778 0.778 Sc
0.000 0.778 0.278 Sc
0.000 0.278 0.778 Sc
0.500 0.278 0.278 Sc
0.000 0.278 0.278 Sc
```

Output
Distance to the lowest polymorph of the same formula in meV/atom: 0
ΔH_f (0 K) in eV/atom: 0.06
Total magnetic moment in Bohr magnetons per cell: 0.00
Electronic total energy in Ry per atom: -0.411
ρ in g cm⁻³: 5.683


Q: Which value of total magnetic moment does entry 1 give?
A: 0.00 Bohr magnetons per cell